Record 1
A plane-wave DFT calculation with PBE with a Hubbard U was carried out for a geometry-optimized La2VF8 structure.

Calculated values
Total moment, μB per cell: 1.00
SG: C2/m
ρ, g/cm3: 5.27
Electronic total energy, eV per atom: -6.498

Cell lengths 3.797, 5.953, 7.211 Å; angles 104.89, 105.27, 90.00 degrees
Fractional coordinates of all 11 atoms:
F 0.594 0.479 0.189
F 0.341 0.024 0.682
F 0.216 0.321 0.432
F 0.016 0.806 0.032
F 0.784 0.679 0.568
F 0.659 0.976 0.318
F 0.406 0.521 0.811
F 0.984 0.194 0.968
V 0.500 0.000 0.000
La 0.169 0.686 0.338
La 0.831 0.314 0.662

Record 2
A plane-wave DFT calculation with PBE with a Hubbard U was carried out for a geometry-optimized LaV3F structure.

Calculated values
Total moment, μB per cell: 0.55
E above lowest polymorph, eV per atom: 2.2513
SG: Pm-3m
ρ, g/cm3: 5.19
Electronic total energy, eV per atom: -3.144

Cell lengths 4.633, 4.633, 4.633 Å; angles 90.00, 90.00, 90.00 degrees
Fractional coordinates of all 5 atoms:
F 0.500 0.500 0.500
La 0.000 0.000 0.000
V 0.000 0.500 0.000
V 0.000 0.000 0.500
V 0.500 0.000 0.000

Record 3
A plane-wave DFT calculation with PBE with a Hubbard U was carried out for a geometry-optimized LaV2F8 structure.

Calculated values
Total moment, μB per cell: 5.00
SG: C2/m
ρ, g/cm3: 3.88
Electronic total energy, eV per atom: -6.349

Cell lengths 4.284, 7.616, 6.416 Å; angles 126.43, 87.51, 90.02 degrees
Fractional coordinates of all 11 atoms:
F 0.241 0.587 0.173
F 0.759 0.413 0.827
F 0.745 0.865 0.206
F 0.271 0.191 0.381
F 0.255 0.659 0.794
F 0.255 0.135 0.794
F 0.729 0.809 0.619
F 0.745 0.341 0.206
V 0.264 0.382 0.765
V 0.736 0.618 0.235
La 0.000 0.000 0.000

What did the first record say?
A plane-wave DFT calculation with PBE with a Hubbard U was carried out for a geometry-optimized La2VF8 structure.

Calculated values
Total moment, μB per cell: 1.00
SG: C2/m
ρ, g/cm3: 5.27
Electronic total energy, eV per atom: -6.498

Cell lengths 3.797, 5.953, 7.211 Å; angles 104.89, 105.27, 90.00 degrees
Fractional coordinates of all 11 atoms:
F 0.594 0.479 0.189
F 0.341 0.024 0.682
F 0.216 0.321 0.432
F 0.016 0.806 0.032
F 0.784 0.679 0.568
F 0.659 0.976 0.318
F 0.406 0.521 0.811
F 0.984 0.194 0.968
V 0.500 0.000 0.000
La 0.169 0.686 0.338
La 0.831 0.314 0.662

Which formula does entry 2 have?
LaV3F

What is the formula in the third record?
LaV2F8